Entry 1:
# Tb4Y3Th2, relaxed, DFT PBE
data_Tb4Y3Th2
_symmetry_space_group_name_H-M 'P 1'
_symmetry_Int_Tables_number 1
_cell_length_a 9.5185
_cell_length_b 9.5185
_cell_length_c 9.5457
_cell_angle_alpha 115.17
_cell_angle_beta 115.17
_cell_angle_gamma 21.82
loop_
_symmetry_equiv_pos_as_xyz
'x,y,z'
loop_
_atom_site_label
_atom_site_type_symbol
_atom_site_fract_x
_atom_site_fract_y
_atom_site_fract_z
Tb1 Tb 0.0178 0.0178 0.3333
Tb2 Tb 0.3152 0.3152 0.6707
Tb3 Tb 0.6848 0.6848 0.3293
Tb4 Tb 0.9822 0.9822 0.6667
Y1 Y 0.3506 0.3506 0.3290
Y2 Y 0.5000 0.5000 0.0000
Y3 Y 0.6494 0.6494 0.6710
Th1 Th 0.1683 0.1683 0.0008
Th2 Th 0.8317 0.8317 0.9992
# ΔE to the lowest computed polymorph: 0 meV/atom
# energy of formation from the pure elements: 0.00 eV/atom
# crystal system: monoclinic
# N(E_F): 1.44 states/eV/atom
# total DFT energy (no corrections): -5.86 eV per atom
# spin magnetization: 0.00 μB per atom
# symmetry: C2/m



Entry 2:
# Tb5YTh4, relaxed, DFT PBE
data_Tb5YTh4
_symmetry_space_group_name_H-M 'P 1'
_symmetry_Int_Tables_number 1
_cell_length_a 7.9373
_cell_length_b 7.9373
_cell_length_c 11.8190
_cell_angle_alpha 101.90
_cell_angle_beta 101.90
_cell_angle_gamma 26.09
loop_
_symmetry_equiv_pos_as_xyz
'x,y,z'
loop_
_atom_site_label
_atom_site_type_symbol
_atom_site_fract_x
_atom_site_fract_y
_atom_site_fract_z
Tb1 Tb 0.0000 0.0000 0.0000
Tb2 Tb 0.2042 0.2042 0.6011
Tb3 Tb 0.3987 0.3987 0.1962
Tb4 Tb 0.6013 0.6013 0.8038
Tb5 Tb 0.7958 0.7958 0.3989
Y1 Y 0.5000 0.5000 0.5000
Th1 Th 0.0998 0.0998 0.2977
Th2 Th 0.3001 0.3001 0.8989
Th3 Th 0.6999 0.6999 0.1011
Th4 Th 0.9002 0.9002 0.7023
# energy of formation from the pure elements: 0.03 eV/atom
# crystal system: monoclinic
# N(E_F): 1.45 states/eV/atom
# total DFT energy (no corrections): -5.90 eV per atom
# spin magnetization: 0.00 μB per atom
# symmetry: C2/m



Entry 3:
# TbY14Th, relaxed, DFT PBE
data_TbY14Th
_symmetry_space_group_name_H-M 'P 1'
_symmetry_Int_Tables_number 1
_cell_length_a 7.1542
_cell_length_b 7.1542
_cell_length_c 10.0902
_cell_angle_alpha 90.00
_cell_angle_beta 90.00
_cell_angle_gamma 90.00
loop_
_symmetry_equiv_pos_as_xyz
'x,y,z'
loop_
_atom_site_label
_atom_site_type_symbol
_atom_site_fract_x
_atom_site_fract_y
_atom_site_fract_z
Tb1 Tb 0.0000 0.0000 0.0000
Y1 Y 0.0000 0.0000 0.5000
Y2 Y 0.0000 0.5000 0.0000
Y3 Y 0.0000 0.5000 0.5000
Y4 Y 0.2520 0.2520 0.2479
Y5 Y 0.2520 0.2520 0.7521
Y6 Y 0.2520 0.7480 0.2479
Y7 Y 0.2520 0.7480 0.7521
Y8 Y 0.5000 0.0000 0.0000
Y9 Y 0.5000 0.0000 0.5000
Y10 Y 0.5000 0.5000 0.5000
Y11 Y 0.7480 0.2520 0.2479
Y12 Y 0.7480 0.2520 0.7521
Y13 Y 0.7480 0.7480 0.2479
Y14 Y 0.7480 0.7480 0.7521
Th1 Th 0.5000 0.5000 0.0000
# energy of formation from the pure elements: 0.02 eV/atom
# crystal system: tetragonal
# N(E_F): 1.41 states/eV/atom
# total DFT energy (no corrections): -6.39 eV per atom
# spin magnetization: 0.00 μB per atom
# symmetry: P4/mmm



Entry 4:
# Tb3Y2Th6, relaxed, DFT PBE
data_Tb3Y2Th6
_symmetry_space_group_name_H-M 'P 1'
_symmetry_Int_Tables_number 1
_cell_length_a 31.8597
_cell_length_b 31.8597
_cell_length_c 31.8597
_cell_angle_alpha 6.44
_cell_angle_beta 6.44
_cell_angle_gamma 6.44
loop_
_symmetry_equiv_pos_as_xyz
'x,y,z'
loop_
_atom_site_label
_atom_site_type_symbol
_atom_site_fract_x
_atom_site_fract_y
_atom_site_fract_z
Tb1 Tb 0.0000 0.0000 0.0000
Tb2 Tb 0.2730 0.2730 0.2730
Tb3 Tb 0.7270 0.7270 0.7270
Y1 Y 0.4542 0.4542 0.4542
Y2 Y 0.5458 0.5458 0.5458
Th1 Th 0.0906 0.0906 0.0906
Th2 Th 0.1815 0.1815 0.1815
Th3 Th 0.3636 0.3636 0.3636
Th4 Th 0.6364 0.6364 0.6364
Th5 Th 0.8185 0.8185 0.8185
Th6 Th 0.9094 0.9094 0.9094
# energy of formation from the pure elements: 0.03 eV/atom
# crystal system: trigonal
# N(E_F): 1.54 states/eV/atom
# total DFT energy (no corrections): -6.45 eV per atom
# spin magnetization: 0.00 μB per atom
# symmetry: R-3m



Entry 5:
# Tb5Y4Th2, relaxed, DFT PBE
data_Tb5Y4Th2
_symmetry_space_group_name_H-M 'P 1'
_symmetry_Int_Tables_number 1
_cell_length_a 8.8223
_cell_length_b 3.5018
_cell_length_c 11.7760
_cell_angle_alpha 90.00
_cell_angle_beta 93.99
_cell_angle_gamma 90.00
loop_
_symmetry_equiv_pos_as_xyz
'x,y,z'
loop_
_atom_site_label
_atom_site_type_symbol
_atom_site_fract_x
_atom_site_fract_y
_atom_site_fract_z
Tb1 Tb 0.0000 0.0000 0.0000
Tb2 Tb 0.0752 0.0000 0.2877
Tb3 Tb 0.3006 0.0000 0.8353
Tb4 Tb 0.6994 0.0000 0.1647
Tb5 Tb 0.9248 0.0000 0.7123
Y1 Y 0.1949 0.5000 0.5472
Y2 Y 0.3431 0.5000 0.1058
Y3 Y 0.6569 0.5000 0.8942
Y4 Y 0.8051 0.5000 0.4528
Th1 Th 0.4623 0.0000 0.3667
Th2 Th 0.5377 0.0000 0.6333
# ΔE to the lowest computed polymorph: 0 meV/atom
# energy of formation from the pure elements: 0.13 eV/atom
# crystal system: monoclinic
# N(E_F): 1.98 states/eV/atom
# total DFT energy (no corrections): -5.67 eV per atom
# spin magnetization: 0.00 μB per atom
# symmetry: P2/m



Entry 6:
# TbYTh2, relaxed, DFT PBE
data_TbYTh2
_symmetry_space_group_name_H-M 'P 1'
_symmetry_Int_Tables_number 1
_cell_length_a 11.8259
_cell_length_b 11.8259
_cell_length_c 11.8259
_cell_angle_alpha 17.36
_cell_angle_beta 17.36
_cell_angle_gamma 17.36
loop_
_symmetry_equiv_pos_as_xyz
'x,y,z'
loop_
_atom_site_label
_atom_site_type_symbol
_atom_site_fract_x
_atom_site_fract_y
_atom_site_fract_z
Tb1 Tb 0.0000 0.0000 0.0000
Y1 Y 0.1700 0.1700 0.1700
Th1 Th 0.5854 0.5854 0.5854
Th2 Th 0.7512 0.7512 0.7512
# ΔE to the lowest computed polymorph: 12 meV/atom
# energy of formation from the pure elements: 0.04 eV/atom
# crystal system: trigonal
# N(E_F): 1.57 states/eV/atom
# total DFT energy (no corrections): -6.44 eV per atom
# spin magnetization: 0.00 μB per atom
# symmetry: R3m



Entry 7:
# TbYThZn, relaxed, DFT PBE
data_TbYThZn
_symmetry_space_group_name_H-M 'P 1'
_symmetry_Int_Tables_number 1
_cell_length_a 3.5735
_cell_length_b 3.5735
_cell_length_c 8.5830
_cell_angle_alpha 90.00
_cell_angle_beta 90.00
_cell_angle_gamma 90.00
loop_
_symmetry_equiv_pos_as_xyz
'x,y,z'
loop_
_atom_site_label
_atom_site_type_symbol
_atom_site_fract_x
_atom_site_fract_y
_atom_site_fract_z
Tb1 Tb 0.0000 0.0000 0.0000
Y1 Y 0.0000 0.0000 0.5780
Th1 Th 0.5000 0.5000 0.2882
Zn1 Zn 0.5000 0.5000 0.7887
# energy of formation from the pure elements: -0.17 eV/atom
# crystal system: tetragonal
# N(E_F): 1.39 states/eV/atom
# total DFT energy (no corrections): -5.11 eV per atom
# spin magnetization: 0.00 μB per atom
# symmetry: P4mm



Entry 8:
# TbYThZr, relaxed, DFT PBE
data_TbYThZr
_symmetry_space_group_name_H-M 'P 1'
_symmetry_Int_Tables_number 1
_cell_length_a 5.4960
_cell_length_b 5.4960
_cell_length_c 5.4960
_cell_angle_alpha 60.00
_cell_angle_beta 60.00
_cell_angle_gamma 60.00
loop_
_symmetry_equiv_pos_as_xyz
'x,y,z'
loop_
_atom_site_label
_atom_site_type_symbol
_atom_site_fract_x
_atom_site_fract_y
_atom_site_fract_z
Tb1 Tb 0.0000 0.0000 0.0000
Y1 Y 0.2500 0.2500 0.2500
Th1 Th 0.7500 0.7500 0.7500
Zr1 Zr 0.5000 0.5000 0.5000
# energy of formation from the pure elements: 0.19 eV/atom
# crystal system: cubic
# N(E_F): 2.16 states/eV/atom
# total DFT energy (no corrections): -6.58 eV per atom
# spin magnetization: 0.00 μB per atom
# symmetry: F-43m



Entry 9:
# Tb2ThZn4, relaxed, DFT PBE
data_Tb2ThZn4
_symmetry_space_group_name_H-M 'P 1'
_symmetry_Int_Tables_number 1
_cell_length_a 7.2558
_cell_length_b 7.2558
_cell_length_c 7.2558
_cell_angle_alpha 137.36
_cell_angle_beta 137.36
_cell_angle_gamma 61.88
loop_
_symmetry_equiv_pos_as_xyz
'x,y,z'
loop_
_atom_site_label
_atom_site_type_symbol
_atom_site_fract_x
_atom_site_fract_y
_atom_site_fract_z
Tb1 Tb 0.2212 0.2212 0.0000
Tb2 Tb 0.7788 0.7788 0.0000
Th1 Th 0.5000 0.5000 0.0000
Zn1 Zn 0.1144 0.6144 0.5000
Zn2 Zn 0.3856 0.8856 0.5000
Zn3 Zn 0.6144 0.1144 0.5000
Zn4 Zn 0.8856 0.3856 0.5000
# energy of formation from the pure elements: -0.08 eV/atom
# crystal system: tetragonal
# N(E_F): 0.70 states/eV/atom
# total DFT energy (no corrections): -3.19 eV per atom
# spin magnetization: 0.00 μB per atom
# symmetry: I4/mmm



Entry 10:
# TbTh2Zn4, relaxed, DFT PBE
data_TbTh2Zn4
_symmetry_space_group_name_H-M 'P 1'
_symmetry_Int_Tables_number 1
_cell_length_a 7.6953
_cell_length_b 7.6953
_cell_length_c 7.6953
_cell_angle_alpha 141.55
_cell_angle_beta 141.55
_cell_angle_gamma 55.51
loop_
_symmetry_equiv_pos_as_xyz
'x,y,z'
loop_
_atom_site_label
_atom_site_type_symbol
_atom_site_fract_x
_atom_site_fract_y
_atom_site_fract_z
Tb1 Tb 0.0000 0.0000 0.0000
Th1 Th 0.2641 0.2641 0.0000
Th2 Th 0.7359 0.7359 0.0000
Zn1 Zn 0.1070 0.6070 0.5000
Zn2 Zn 0.3930 0.8930 0.5000
Zn3 Zn 0.6070 0.1070 0.5000
Zn4 Zn 0.8930 0.3930 0.5000
# energy of formation from the pure elements: -0.04 eV/atom
# crystal system: tetragonal
# N(E_F): 0.81 states/eV/atom
# total DFT energy (no corrections): -3.55 eV per atom
# spin magnetization: 0.00 μB per atom
# symmetry: I4/mmm



Entry 11:
# Tb2Th2Zn, relaxed, DFT PBE
data_Tb2Th2Zn
_symmetry_space_group_name_H-M 'P 1'
_symmetry_Int_Tables_number 1
_cell_length_a 11.3694
_cell_length_b 11.3694
_cell_length_c 11.3694
_cell_angle_alpha 161.89
_cell_angle_beta 161.89
_cell_angle_gamma 25.71
loop_
_symmetry_equiv_pos_as_xyz
'x,y,z'
loop_
_atom_site_label
_atom_site_type_symbol
_atom_site_fract_x
_atom_site_fract_y
_atom_site_fract_z
Tb1 Tb 0.0821 0.0821 0.0000
Tb2 Tb 0.9179 0.9179 0.0000
Th1 Th 0.3051 0.3051 0.0000
Th2 Th 0.6949 0.6949 0.0000
Zn1 Zn 0.5000 0.5000 0.0000
# energy of formation from the pure elements: -0.13 eV/atom
# crystal system: tetragonal
# N(E_F): 1.39 states/eV/atom
# total DFT energy (no corrections): -5.20 eV per atom
# spin magnetization: 0.00 μB per atom
# symmetry: I4/mmm



Entry 12:
# Tb4ThZn5, relaxed, DFT PBE
data_Tb4ThZn5
_symmetry_space_group_name_H-M 'P 1'
_symmetry_Int_Tables_number 1
_cell_length_a 3.5965
_cell_length_b 3.5965
_cell_length_c 18.0165
_cell_angle_alpha 90.00
_cell_angle_beta 90.00
_cell_angle_gamma 90.00
loop_
_symmetry_equiv_pos_as_xyz
'x,y,z'
loop_
_atom_site_label
_atom_site_type_symbol
_atom_site_fract_x
_atom_site_fract_y
_atom_site_fract_z
Tb1 Tb 0.0000 0.0000 0.0987
Tb2 Tb 0.0000 0.0000 0.2961
Tb3 Tb 0.0000 0.0000 0.7039
Tb4 Tb 0.0000 0.0000 0.9013
Th1 Th 0.0000 0.0000 0.5000
Zn1 Zn 0.5000 0.5000 0.0000
Zn2 Zn 0.5000 0.5000 0.1978
Zn3 Zn 0.5000 0.5000 0.3922
Zn4 Zn 0.5000 0.5000 0.6078
Zn5 Zn 0.5000 0.5000 0.8022
# energy of formation from the pure elements: -0.30 eV/atom
# crystal system: tetragonal
# N(E_F): 1.13 states/eV/atom
# total DFT energy (no corrections): -3.53 eV per atom
# spin magnetization: 0.00 μB per atom
# symmetry: P4/mmm



What did the fifth record say?
# Tb5Y4Th2, relaxed, DFT PBE
data_Tb5Y4Th2
_symmetry_space_group_name_H-M 'P 1'
_symmetry_Int_Tables_number 1
_cell_length_a 8.8223
_cell_length_b 3.5018
_cell_length_c 11.7760
_cell_angle_alpha 90.00
_cell_angle_beta 93.99
_cell_angle_gamma 90.00
loop_
_symmetry_equiv_pos_as_xyz
'x,y,z'
loop_
_atom_site_label
_atom_site_type_symbol
_atom_site_fract_x
_atom_site_fract_y
_atom_site_fract_z
Tb1 Tb 0.0000 0.0000 0.0000
Tb2 Tb 0.0752 0.0000 0.2877
Tb3 Tb 0.3006 0.0000 0.8353
Tb4 Tb 0.6994 0.0000 0.1647
Tb5 Tb 0.9248 0.0000 0.7123
Y1 Y 0.1949 0.5000 0.5472
Y2 Y 0.3431 0.5000 0.1058
Y3 Y 0.6569 0.5000 0.8942
Y4 Y 0.8051 0.5000 0.4528
Th1 Th 0.4623 0.0000 0.3667
Th2 Th 0.5377 0.0000 0.6333
# ΔE to the lowest computed polymorph: 0 meV/atom
# energy of formation from the pure elements: 0.13 eV/atom
# crystal system: monoclinic
# N(E_F): 1.98 states/eV/atom
# total DFT energy (no corrections): -5.67 eV per atom
# spin magnetization: 0.00 μB per atom
# symmetry: P2/m